# SrZrO3 PBEsol optimized geometry
# - DOS at the Fermi energy: 0.000 states/eV/cell
# - Space group: No. 74
# - Raw formation energy: -3.342 eV/atom
# - Density: 5.48 Mg/m³
data_SrZrO3
_cell_length_a 5.785
_cell_length_b 5.785
_cell_length_c 5.785
_cell_angle_alpha 119.83
_cell_angle_beta 90.50
_cell_angle_gamma 119.60
_space_group_name_H-M_alt 'P 1'
_space_group_IT_number 1
_space_group_name_Hall 'P 1'
loop_
_atom_site_label
_atom_site_type_symbol
_atom_site_fract_x
_atom_site_fract_y
_atom_site_fract_z
Sr1 Sr 0.261 0.011 0.250
Sr2 Sr 0.739 0.989 0.750
Zr1 Zr 0.000 0.500 0.500
Zr2 Zr 0.500 0.500 0.000
O1 O 0.166 0.416 0.750
O2 O 0.296 0.000 0.796
O3 O 0.296 0.500 0.296
O4 O 0.704 0.000 0.204
O5 O 0.704 0.500 0.704
O6 O 0.834 0.584 0.250

# Ta2O5 PBEsol optimized geometry
# - DOS at the Fermi energy: 0.000 states/eV/cell
# - Space group: No. 55
# - Raw formation energy: -2.731 eV/atom
# - Density: 6.05 Mg/m³
data_Ta2O5
_cell_length_a 5.701
_cell_length_b 11.922
_cell_length_c 3.569
_cell_angle_alpha 90.00
_cell_angle_beta 90.00
_cell_angle_gamma 90.00
_space_group_name_H-M_alt 'P 1'
_space_group_IT_number 1
_space_group_name_Hall 'P 1'
loop_
_atom_site_label
_atom_site_type_symbol
_atom_site_fract_x
_atom_site_fract_y
_atom_site_fract_z
Ta1 Ta 0.160 0.142 0.000
Ta2 Ta 0.340 0.642 0.000
Ta3 Ta 0.660 0.358 0.000
Ta4 Ta 0.840 0.858 0.000
O1 O 0.000 0.000 0.000
O2 O 0.093 0.765 0.000
O3 O 0.229 0.613 0.500
O4 O 0.271 0.113 0.500
O5 O 0.407 0.265 0.000
O6 O 0.500 0.500 0.000
O7 O 0.593 0.735 0.000
O8 O 0.729 0.887 0.500
O9 O 0.771 0.387 0.500
O10 O 0.907 0.235 0.000

# Ta2O5 PBEsol optimized geometry
# - DOS at the Fermi energy: 0.000 states/eV/cell
# - Space group: No. 12
# - Raw formation energy: -2.826 eV/atom
# - Density: 7.59 Mg/m³
data_Ta2O5
_cell_length_a 6.784
_cell_length_b 6.784
_cell_length_c 3.868
_cell_angle_alpha 90.12
_cell_angle_beta 90.12
_cell_angle_gamma 32.92
_space_group_name_H-M_alt 'P 1'
_space_group_IT_number 1
_space_group_name_Hall 'P 1'
loop_
_atom_site_label
_atom_site_type_symbol
_atom_site_fract_x
_atom_site_fract_y
_atom_site_fract_z
Ta1 Ta 0.146 0.146 0.011
Ta2 Ta 0.854 0.854 0.989
O1 O 0.000 0.000 0.000
O2 O 0.150 0.150 0.504
O3 O 0.315 0.315 0.999
O4 O 0.685 0.685 0.001
O5 O 0.850 0.850 0.496

# Ta2O5 PBEsol optimized geometry
# - DOS at the Fermi energy: 0.000 states/eV/cell
# - Space group: No. 12
# - Raw formation energy: -2.693 eV/atom
# - Density: 5.88 Mg/m³
data_Ta2O5
_cell_length_a 5.440
_cell_length_b 5.440
_cell_length_c 5.754
_cell_angle_alpha 121.07
_cell_angle_beta 121.07
_cell_angle_gamma 76.49
_space_group_name_H-M_alt 'P 1'
_space_group_IT_number 1
_space_group_name_Hall 'P 1'
loop_
_atom_site_label
_atom_site_type_symbol
_atom_site_fract_x
_atom_site_fract_y
_atom_site_fract_z
Ta1 Ta 0.218 0.218 0.118
Ta2 Ta 0.782 0.782 0.882
O1 O 0.000 0.500 0.000
O2 O 0.090 0.090 0.282
O3 O 0.500 0.000 0.000
O4 O 0.500 0.500 0.500
O5 O 0.910 0.910 0.718

# Ta3O8 PBEsol optimized geometry
# - DOS at the Fermi energy: 19.119 states/eV/cell
# - Space group: No. 51
# - Raw formation energy: -2.639 eV/atom
# - Density: 7.52 Mg/m³
data_Ta3O8
_cell_length_a 16.847
_cell_length_b 3.887
_cell_length_c 9.042
_cell_angle_alpha 90.00
_cell_angle_beta 90.00
_cell_angle_gamma 90.00
_space_group_name_H-M_alt 'P 1'
_space_group_IT_number 1
_space_group_name_Hall 'P 1'
loop_
_atom_site_label
_atom_site_type_symbol
_atom_site_fract_x
_atom_site_fract_y
_atom_site_fract_z
Ta1 Ta 0.059 0.000 0.185
Ta2 Ta 0.130 0.000 0.598
Ta3 Ta 0.250 0.000 0.308
Ta4 Ta 0.250 0.000 0.941
Ta5 Ta 0.370 0.000 0.598
Ta6 Ta 0.441 0.000 0.185
Ta7 Ta 0.559 0.000 0.815
Ta8 Ta 0.630 0.000 0.402
Ta9 Ta 0.750 0.000 0.059
Ta10 Ta 0.750 0.000 0.692
Ta11 Ta 0.870 0.000 0.402
Ta12 Ta 0.941 0.000 0.815
O1 O 0.000 0.000 0.000
O2 O 0.022 0.000 0.668
O3 O 0.063 0.500 0.177
O4 O 0.128 0.500 0.585
O5 O 0.132 0.000 0.374
O6 O 0.168 0.000 0.797
O7 O 0.175 0.000 0.120
O8 O 0.250 0.000 0.536
O9 O 0.250 0.500 0.302
O10 O 0.250 0.500 0.952
O11 O 0.325 0.000 0.120
O12 O 0.332 0.000 0.797
O13 O 0.368 0.000 0.374
O14 O 0.372 0.500 0.585
O15 O 0.437 0.500 0.177
O16 O 0.478 0.000 0.668
O17 O 0.500 0.000 0.000
O18 O 0.522 0.000 0.332
O19 O 0.563 0.500 0.823
O20 O 0.628 0.500 0.415
O21 O 0.632 0.000 0.626
O22 O 0.668 0.000 0.203
O23 O 0.675 0.000 0.880
O24 O 0.750 0.000 0.464
O25 O 0.750 0.500 0.048
O26 O 0.750 0.500 0.698
O27 O 0.825 0.000 0.880
O28 O 0.832 0.000 0.203
O29 O 0.868 0.000 0.626
O30 O 0.872 0.500 0.415
O31 O 0.937 0.500 0.823
O32 O 0.978 0.000 0.332

# Ta2O5 PBEsol optimized geometry
# - DOS at the Fermi energy: 0.000 states/eV/cell
# - Space group: No. 59
# - Raw formation energy: -2.826 eV/atom
# - Density: 7.59 Mg/m³
data_Ta2O5
_cell_length_a 3.844
_cell_length_b 13.013
_cell_length_c 3.867
_cell_angle_alpha 90.00
_cell_angle_beta 90.00
_cell_angle_gamma 90.00
_space_group_name_H-M_alt 'P 1'
_space_group_IT_number 1
_space_group_name_Hall 'P 1'
loop_
_atom_site_label
_atom_site_type_symbol
_atom_site_fract_x
_atom_site_fract_y
_atom_site_fract_z
Ta1 Ta 0.250 0.104 0.011
Ta2 Ta 0.250 0.396 0.011
Ta3 Ta 0.750 0.604 0.989
Ta4 Ta 0.750 0.896 0.989
O1 O 0.250 0.100 0.504
O2 O 0.250 0.250 0.003
O3 O 0.250 0.400 0.504
O4 O 0.250 0.565 0.999
O5 O 0.250 0.935 0.999
O6 O 0.750 0.065 0.001
O7 O 0.750 0.435 0.001
O8 O 0.750 0.600 0.496
O9 O 0.750 0.750 0.997
O10 O 0.750 0.900 0.496

# Ta2O5 PBEsol optimized geometry
# - DOS at the Fermi energy: 0.000 states/eV/cell
# - Space group: No. 15
# - Raw formation energy: -2.833 eV/atom
# - Density: 8.74 Mg/m³
data_Ta2O5
_cell_length_a 6.865
_cell_length_b 6.865
_cell_length_c 5.532
_cell_angle_alpha 102.78
_cell_angle_beta 102.78
_cell_angle_gamma 41.52
_space_group_name_H-M_alt 'P 1'
_space_group_IT_number 1
_space_group_name_Hall 'P 1'
loop_
_atom_site_label
_atom_site_type_symbol
_atom_site_fract_x
_atom_site_fract_y
_atom_site_fract_z
Ta1 Ta 0.105 0.614 0.731
Ta2 Ta 0.386 0.895 0.769
Ta3 Ta 0.614 0.105 0.231
Ta4 Ta 0.895 0.386 0.269
O1 O 0.101 0.899 0.750
O2 O 0.135 0.276 0.628
O3 O 0.276 0.135 0.128
O4 O 0.338 0.441 0.022
O5 O 0.441 0.338 0.522
O6 O 0.559 0.662 0.478
O7 O 0.662 0.559 0.978
O8 O 0.724 0.865 0.872
O9 O 0.865 0.724 0.372
O10 O 0.899 0.101 0.250

# Ta2O5 PBEsol optimized geometry
# - DOS at the Fermi energy: 0.000 states/eV/cell
# - Space group: No. 8
# - Raw formation energy: -2.796 eV/atom
# - Density: 8.22 Mg/m³
data_Ta2O5
_cell_length_a 7.215
_cell_length_b 7.215
_cell_length_c 7.153
_cell_angle_alpha 117.45
_cell_angle_beta 117.45
_cell_angle_gamma 57.74
_space_group_name_H-M_alt 'P 1'
_space_group_IT_number 1
_space_group_name_Hall 'P 1'
loop_
_atom_site_label
_atom_site_type_symbol
_atom_site_fract_x
_atom_site_fract_y
_atom_site_fract_z
Ta1 Ta 0.000 0.000 0.000
Ta2 Ta 0.037 0.509 0.512
Ta3 Ta 0.049 0.049 0.553
Ta4 Ta 0.502 0.502 0.505
Ta5 Ta 0.509 0.037 0.512
Ta6 Ta 0.567 0.567 0.099
O1 O 0.078 0.688 0.816
O2 O 0.091 0.091 0.849
O3 O 0.133 0.713 0.493
O4 O 0.224 0.224 0.612
O5 O 0.317 0.317 0.403
O6 O 0.352 0.891 0.178
O7 O 0.422 0.826 0.557
O8 O 0.452 0.452 0.186
O9 O 0.538 0.538 0.812
O10 O 0.688 0.078 0.816
O11 O 0.713 0.133 0.493
O12 O 0.732 0.732 0.389
O13 O 0.826 0.422 0.557
O14 O 0.891 0.352 0.178
O15 O 0.973 0.973 0.235

# Tb3TaO7 PBEsol optimized geometry
# - E above lowest polymorph: 0.022 eV/atom
# - DOS at the Fermi energy: 0.000 states/eV/cell
# - Space group: No. 63
# - Raw formation energy: -3.432 eV/atom
# - Density: 8.96 Mg/m³
data_Tb3TaO7
_cell_length_a 6.402
_cell_length_b 6.402
_cell_length_c 7.455
_cell_angle_alpha 90.00
_cell_angle_beta 90.00
_cell_angle_gamma 69.11
_space_group_name_H-M_alt 'P 1'
_space_group_IT_number 1
_space_group_name_Hall 'P 1'
loop_
_atom_site_label
_atom_site_type_symbol
_atom_site_fract_x
_atom_site_fract_y
_atom_site_fract_z
Tb1 Tb 0.000 0.000 0.000
Tb2 Tb 0.000 0.000 0.500
Tb3 Tb 0.063 0.481 0.750
Tb4 Tb 0.481 0.063 0.250
Tb5 Tb 0.519 0.937 0.750
Tb6 Tb 0.937 0.519 0.250
Ta1 Ta 0.500 0.500 0.000
Ta2 Ta 0.500 0.500 0.500
O1 O 0.109 0.154 0.250
O2 O 0.154 0.109 0.750
O3 O 0.177 0.564 0.037
O4 O 0.177 0.564 0.463
O5 O 0.418 0.582 0.750
O6 O 0.436 0.823 0.037
O7 O 0.436 0.823 0.463
O8 O 0.564 0.177 0.537
O9 O 0.564 0.177 0.963
O10 O 0.582 0.418 0.250
O11 O 0.823 0.436 0.537
O12 O 0.823 0.436 0.963
O13 O 0.846 0.891 0.250
O14 O 0.891 0.846 0.750

# TbTaO4 PBEsol optimized geometry
# - DOS at the Fermi energy: 0.000 states/eV/cell
# - Space group: No. 13
# - Raw formation energy: -3.303 eV/atom
# - Density: 9.17 Mg/m³
data_TbTaO4
_cell_length_a 5.118
_cell_length_b 5.427
_cell_length_c 5.301
_cell_angle_alpha 90.00
_cell_angle_beta 96.79
_cell_angle_gamma 90.00
_space_group_name_H-M_alt 'P 1'
_space_group_IT_number 1
_space_group_name_Hall 'P 1'
loop_
_atom_site_label
_atom_site_type_symbol
_atom_site_fract_x
_atom_site_fract_y
_atom_site_fract_z
Tb1 Tb 0.000 0.235 0.250
Tb2 Tb 0.000 0.765 0.750
Ta1 Ta 0.500 0.306 0.750
Ta2 Ta 0.500 0.694 0.250
O1 O 0.250 0.080 0.601
O2 O 0.250 0.920 0.101
O3 O 0.267 0.441 0.990
O4 O 0.267 0.559 0.490
O5 O 0.733 0.441 0.510
O6 O 0.733 0.559 0.010
O7 O 0.750 0.080 0.899
O8 O 0.750 0.920 0.399

# Tb3TaO7 PBEsol optimized geometry
# - E above lowest polymorph: 0.000 eV/atom
# - DOS at the Fermi energy: 0.000 states/eV/cell
# - Space group: No. 20
# - Raw formation energy: -3.454 eV/atom
# - Density: 8.77 Mg/m³
data_Tb3TaO7
_cell_length_a 6.442
_cell_length_b 6.442
_cell_length_c 7.420
_cell_angle_alpha 90.00
_cell_angle_beta 90.00
_cell_angle_gamma 108.81
_space_group_name_H-M_alt 'P 1'
_space_group_IT_number 1
_space_group_name_Hall 'P 1'
loop_
_atom_site_label
_atom_site_type_symbol
_atom_site_fract_x
_atom_site_fract_y
_atom_site_fract_z
Tb1 Tb 0.033 0.033 0.000
Tb2 Tb 0.037 0.499 0.260
Tb3 Tb 0.499 0.037 0.740
Tb4 Tb 0.501 0.963 0.240
Tb5 Tb 0.963 0.501 0.760
Tb6 Tb 0.967 0.967 0.500
Ta1 Ta 0.499 0.499 0.500
Ta2 Ta 0.501 0.501 0.000
O1 O 0.129 0.871 0.750
O2 O 0.138 0.862 0.250
O3 O 0.171 0.417 0.977
O4 O 0.192 0.449 0.545
O5 O 0.417 0.171 0.023
O6 O 0.431 0.569 0.250
O7 O 0.449 0.192 0.455
O8 O 0.551 0.808 0.955
O9 O 0.569 0.431 0.750
O10 O 0.583 0.829 0.523
O11 O 0.808 0.551 0.045
O12 O 0.829 0.583 0.477
O13 O 0.862 0.138 0.750
O14 O 0.871 0.129 0.250

# TbTaO4 PBEsol optimized geometry
# - DOS at the Fermi energy: 0.000 states/eV/cell
# - Space group: No. 15
# - Raw formation energy: -3.297 eV/atom
# - Density: 9.18 Mg/m³
data_TbTaO4
_cell_length_a 6.478
_cell_length_b 6.478
_cell_length_c 5.049
_cell_angle_alpha 110.35
_cell_angle_beta 110.35
_cell_angle_gamma 115.08
_space_group_name_H-M_alt 'P 1'
_space_group_IT_number 1
_space_group_name_Hall 'P 1'
loop_
_atom_site_label
_atom_site_type_symbol
_atom_site_fract_x
_atom_site_fract_y
_atom_site_fract_z
Tb1 Tb 0.132 0.868 0.750
Tb2 Tb 0.868 0.132 0.250
Ta1 Ta 0.400 0.600 0.250
Ta2 Ta 0.600 0.400 0.750
O1 O 0.133 0.554 0.341
O2 O 0.228 0.288 0.784
O3 O 0.288 0.228 0.284
O4 O 0.446 0.867 0.159
O5 O 0.554 0.133 0.841
O6 O 0.712 0.772 0.716
O7 O 0.772 0.712 0.216
O8 O 0.867 0.446 0.659

# TbTaO4 PBEsol optimized geometry
# - DOS at the Fermi energy: 0.000 states/eV/cell
# - Space group: No. 14
# - Raw formation energy: -3.284 eV/atom
# - Density: 9.08 Mg/m³
data_TbTaO4
_cell_length_a 7.473
_cell_length_b 5.296
_cell_length_c 7.541
_cell_angle_alpha 90.00
_cell_angle_beta 98.12
_cell_angle_gamma 90.00
_space_group_name_H-M_alt 'P 1'
_space_group_IT_number 1
_space_group_name_Hall 'P 1'
loop_
_atom_site_label
_atom_site_type_symbol
_atom_site_fract_x
_atom_site_fract_y
_atom_site_fract_z
Tb1 Tb 0.145 0.222 0.392
Tb2 Tb 0.145 0.278 0.892
Tb3 Tb 0.855 0.722 0.108
Tb4 Tb 0.855 0.778 0.608
Ta1 Ta 0.336 0.728 0.188
Ta2 Ta 0.336 0.772 0.688
Ta3 Ta 0.664 0.228 0.312
Ta4 Ta 0.664 0.272 0.812
O1 O 0.112 0.507 0.168
O2 O 0.112 0.993 0.668
O3 O 0.169 0.503 0.621
O4 O 0.169 0.997 0.121
O5 O 0.333 0.628 0.936
O6 O 0.333 0.872 0.436
O7 O 0.432 0.099 0.812
O8 O 0.432 0.401 0.312
O9 O 0.568 0.599 0.688
O10 O 0.568 0.901 0.188
O11 O 0.667 0.128 0.564
O12 O 0.667 0.372 0.064
O13 O 0.831 0.003 0.879
O14 O 0.831 0.497 0.379
O15 O 0.888 0.007 0.332
O16 O 0.888 0.493 0.832

# TaTi3O PBEsol optimized geometry
# - DOS at the Fermi energy: 2.850 states/eV/cell
# - Space group: No. 221
# - Raw formation energy: -1.108 eV/atom
# - Density: 8.05 Mg/m³
data_TaTi3O
_cell_length_a 4.127
_cell_length_b 4.127
_cell_length_c 4.127
_cell_angle_alpha 90.00
_cell_angle_beta 90.00
_cell_angle_gamma 90.00
_space_group_name_H-M_alt 'P 1'
_space_group_IT_number 1
_space_group_name_Hall 'P 1'
loop_
_atom_site_label
_atom_site_type_symbol
_atom_site_fract_x
_atom_site_fract_y
_atom_site_fract_z
Ta1 Ta 0.000 0.000 0.000
Ti1 Ti 0.000 0.500 0.500
Ti2 Ti 0.500 0.000 0.500
Ti3 Ti 0.500 0.500 0.000
O1 O 0.500 0.500 0.500

# Ta2TiO6 PBEsol optimized geometry
# - DOS at the Fermi energy: 4.848 states/eV/cell
# - Space group: No. 12
# - Raw formation energy: -2.800 eV/atom
# - Density: 8.25 Mg/m³
data_Ta2TiO6
_cell_length_a 5.627
_cell_length_b 5.627
_cell_length_c 7.361
_cell_angle_alpha 109.64
_cell_angle_beta 109.64
_cell_angle_gamma 74.36
_space_group_name_H-M_alt 'P 1'
_space_group_IT_number 1
_space_group_name_Hall 'P 1'
loop_
_atom_site_label
_atom_site_type_symbol
_atom_site_fract_x
_atom_site_fract_y
_atom_site_fract_z
Ta1 Ta 0.000 0.000 0.000
Ta2 Ta 0.000 0.000 0.500
Ta3 Ta 0.321 0.321 0.822
Ta4 Ta 0.679 0.679 0.178
Ti1 Ti 0.346 0.346 0.354
Ti2 Ti 0.654 0.654 0.646
O1 O 0.040 0.614 0.332
O2 O 0.092 0.092 0.297
O3 O 0.232 0.232 0.032
O4 O 0.298 0.702 0.000
O5 O 0.386 0.960 0.668
O6 O 0.441 0.441 0.651
O7 O 0.559 0.559 0.349
O8 O 0.614 0.040 0.332
O9 O 0.702 0.298 0.000
O10 O 0.768 0.768 0.968
O11 O 0.908 0.908 0.703
O12 O 0.960 0.386 0.668

# Tm3TaO7 PBEsol optimized geometry
# - E above lowest polymorph: 0.000 eV/atom
# - DOS at the Fermi energy: 0.000 states/eV/cell
# - Space group: No. 20
# - Raw formation energy: -3.500 eV/atom
# - Density: 9.56 Mg/m³
data_Tm3TaO7
_cell_length_a 6.340
_cell_length_b 6.340
_cell_length_c 7.297
_cell_angle_alpha 90.00
_cell_angle_beta 90.00
_cell_angle_gamma 108.70
_space_group_name_H-M_alt 'P 1'
_space_group_IT_number 1
_space_group_name_Hall 'P 1'
loop_
_atom_site_label
_atom_site_type_symbol
_atom_site_fract_x
_atom_site_fract_y
_atom_site_fract_z
Tm1 Tm 0.035 0.035 0.000
Tm2 Tm 0.036 0.500 0.260
Tm3 Tm 0.500 0.036 0.740
Tm4 Tm 0.500 0.964 0.240
Tm5 Tm 0.964 0.500 0.760
Tm6 Tm 0.965 0.965 0.500
Ta1 Ta 0.498 0.498 0.500
Ta2 Ta 0.502 0.502 0.000
O1 O 0.129 0.871 0.750
O2 O 0.139 0.861 0.250
O3 O 0.167 0.415 0.976
O4 O 0.188 0.448 0.547
O5 O 0.415 0.167 0.024
O6 O 0.426 0.574 0.250
O7 O 0.448 0.188 0.453
O8 O 0.552 0.812 0.953
O9 O 0.574 0.426 0.750
O10 O 0.585 0.833 0.524
O11 O 0.812 0.552 0.047
O12 O 0.833 0.585 0.476
O13 O 0.861 0.139 0.750
O14 O 0.871 0.129 0.250